one.
Entry from Alexandria: a geometry-optimized Fe2BiO structure (GGA+U).

Unit cell a=6.4154 b=6.4154 c=6.4154 alpha=90.00 beta=90.00 gamma=90.00
Space group Fm-3m (No. 225)
Inequivalent atoms, fractional coordinates:
Fe: 0.2500 0.2500 0.2500 x8
Bi: 0.0000 0.0000 0.0000 x4
O: 0.0000 0.0000 0.5000 x4

Output
**Magnetic moment**: 4.94 μB per formula unit
**Crystal system**: cubic
**N(E_F)**: 26.589 states/eV per cell

=====

two.
Entry from Alexandria: a geometry-optimized Fe2BiO structure (GGA+U).

Unit cell a=5.3246 b=5.3246 c=11.5349 alpha=90.00 beta=90.00 gamma=90.00
Space group I4_1/amd (No. 141, origin choice 2)
Inequivalent atoms, fractional coordinates:
Fe: 0.0000 0.0000 0.0000 x8
Bi: 0.0000 0.2500 0.3750 x4
O: 0.0000 0.2500 0.8750 x4

Output
**Magnetic moment**: 7.03 μB per formula unit
**Crystal system**: tetragonal
**N(E_F)**: 2.721 states/eV per cell

=====

The structure with the greatest stability is two.

=====

one.
Entry from Alexandria: a geometry-optimized FeBiPO2 structure (GGA+U).

Unit cell a=3.9412 b=3.9412 c=4.8588 alpha=90.00 beta=90.00 gamma=90.00
Space group P4/mmm (No. 123)
Inequivalent atoms, fractional coordinates:
Fe: 0.0000 0.0000 0.0000 x1
Bi: 0.5000 0.5000 0.5000 x1
P: 0.0000 0.0000 0.5000 x1
O: 0.0000 0.5000 0.0000 x2

Output
**Magnetic moment**: 4.21 μB per formula unit
**Crystal system**: tetragonal
**N(E_F)**: 1.481 states/eV per cell

=====

two.
Entry from Alexandria: a geometry-optimized FeBiPO2 structure (GGA+U).

Unit cell a=4.0687 b=4.0687 c=5.4424 alpha=90.00 beta=90.00 gamma=90.00
Space group P4/mmm (No. 123)
Inequivalent atoms, fractional coordinates:
Fe: 0.0000 0.0000 0.0000 x1
Bi: 0.5000 0.5000 0.5000 x1
P: 0.5000 0.5000 0.0000 x1
O: 0.0000 0.5000 0.5000 x2

Output
**Magnetic moment**: 4.09 μB per formula unit
**Crystal system**: tetragonal
**N(E_F)**: 0.807 states/eV per cell

=====

The structure with the greatest stability is one.

=====

one.
Entry from Alexandria: a geometry-optimized TaFeBi2O structure (GGA+U).

Unit cell a=5.2759 b=5.2759 c=3.9300 alpha=90.00 beta=90.00 gamma=90.00
Space group P4/mmm (No. 123)
Inequivalent atoms, fractional coordinates:
Ta: 0.0000 0.0000 0.0000 x1
Fe: 0.5000 0.5000 0.0000 x1
Bi: 0.0000 0.5000 0.5000 x2
O: 0.0000 0.0000 0.5000 x1

Output
**Magnetic moment**: 3.28 μB per formula unit
**Crystal system**: tetragonal
**N(E_F)**: 2.386 states/eV per cell

=====

two.
Entry from Alexandria: a geometry-optimized TaFeBi2O structure (GGA+U).

Unit cell a=5.4027 b=5.4027 c=5.2294 alpha=90.00 beta=90.00 gamma=90.00
Space group P4/mmm (No. 123)
Inequivalent atoms, fractional coordinates:
Ta: 0.0000 0.0000 0.0000 x1
Fe: 0.0000 0.0000 0.5000 x1
Bi: 0.0000 0.5000 0.0000 x2
O: 0.5000 0.5000 0.5000 x1

Output
**Magnetic moment**: 4.99 μB per formula unit
**Crystal system**: tetragonal
**N(E_F)**: 4.237 states/eV per cell

=====

The structure with the greatest stability is one.

=====

one.
Entry from Alexandria: a geometry-optimized Ti3FeBi5O15 structure (GGA+U).

Unit cell a=5.7031 b=5.5429 c=20.8413 alpha=90.00 beta=97.21 gamma=90.00
Space group Cm (No. 8)
Inequivalent atoms, fractional coordinates:
Ti: 0.0000 0.0000 0.0000 x2
Ti: 0.0911 0.0000 0.1985 x2
Ti: 0.2938 0.5000 0.5983 x2
Fe: 0.4143 0.5000 0.8036 x2
Bi: 0.0459 0.5000 0.3337 x2
Bi: 0.1152 0.0000 0.4563 x2
Bi: 0.2743 0.0000 0.6938 x2
Bi: 0.3910 0.0000 0.8912 x2
Bi: 0.4891 0.0000 0.1020 x2
O: 0.0119 0.0000 0.9062 x2
O: 0.0872 0.2412 0.6162 x4
O: 0.1003 0.0000 0.0939 x2
O: 0.1596 0.0000 0.2857 x2
O: 0.2000 0.2354 0.8128 x4
O: 0.2737 0.5000 0.5131 x2
O: 0.3021 0.2400 0.0015 x4
O: 0.3751 0.2418 0.1833 x4
O: 0.3798 0.2491 0.3972 x4
O: 0.4003 0.5000 0.7084 x2

Output
**Magnetic moment**: 5.00 μB per formula unit
**Crystal system**: monoclinic
**N(E_F)**: 0.000 states/eV per cell

=====

two.
Entry from Alexandria: a geometry-optimized Ti3FeBi5O15 structure (GGA+U).

Unit cell a=5.4982 b=5.5535 c=20.9501 alpha=90.00 beta=97.49 gamma=90.00
Space group P2_1 (No. 4)
Inequivalent atoms, fractional coordinates:
Ti: 0.1004 0.0000 0.1973 x2
Ti: 0.1953 0.0130 0.4034 x2
Ti: 0.4000 0.9968 0.8013 x2
Fe: 0.2921 0.0142 0.5963 x2
Bi: 0.0045 0.4143 0.0614 x2
Bi: 0.1538 0.4578 0.2958 x2
Bi: 0.2622 0.4710 0.4971 x2
Bi: 0.3556 0.4529 0.7057 x2
Bi: 0.4432 0.4108 0.9379 x2
O: 0.0080 0.5069 0.8864 x2
O: 0.0098 0.3351 0.3931 x2
O: 0.0988 0.3354 0.6083 x2
O: 0.1155 0.2549 0.7729 x2
O: 0.1517 0.7534 0.7737 x2
O: 0.1632 0.0569 0.4990 x2
O: 0.2266 0.0488 0.3119 x2
O: 0.2402 0.1898 0.0012 x2
O: 0.2608 0.6896 0.0013 x2
O: 0.3201 0.2994 0.2040 x2
O: 0.3753 0.0120 0.8854 x2
O: 0.3876 0.8024 0.2038 x2
O: 0.4145 0.0495 0.6908 x2
O: 0.4221 0.7556 0.4227 x2
O: 0.4944 0.2497 0.4258 x2

Output
**Magnetic moment**: 4.98 μB per formula unit
**Crystal system**: monoclinic
**N(E_F)**: 0.000 states/eV per cell

=====

The structure with the greatest stability is two.